Record 1
# PBE Y2AlFeRe, relaxed
data_Y2AlFeRe
_chemical_formula_sum 'Y2 Al1 Fe1 Re1'
_cell_length_a 4.956
_cell_length_b 4.956
_cell_length_c 4.501
_cell_angle_alpha 90.00
_cell_angle_beta 90.00
_cell_angle_gamma 90.00
_space_group_name_H-M_alt 'P 4/m m m'
_space_group_IT_number 123
_space_group_name_Hall '-P 4 2'
loop_
_atom_site_label
_atom_site_fract_x
_atom_site_fract_y
_atom_site_fract_z
_atom_site_occupancy
Y1 0.000 0.500 0.000 1
Al1 0.000 0.000 0.500 1
Fe1 0.000 0.000 0.000 1
Re1 0.500 0.500 0.500 1
# Total magnetization ... 2.35 μB per formula unit
# E_form ... 0.703 eV per atom

Record 2
# PBE La2Cd2Se, relaxed
data_La2Cd2Se
_chemical_formula_sum 'La4 Cd4 Se2'
_cell_length_a 6.208
_cell_length_b 6.208
_cell_length_c 8.189
_cell_angle_alpha 90.00
_cell_angle_beta 90.00
_cell_angle_gamma 90.00
_space_group_name_H-M_alt 'I 4/m m m'
_space_group_IT_number 139
_space_group_name_Hall '-I 4 2'
loop_
_atom_site_label
_atom_site_fract_x
_atom_site_fract_y
_atom_site_fract_z
_atom_site_occupancy
La1 0.000 0.500 0.250 1
Cd1 0.000 0.000 0.157 1
Se1 0.000 0.000 0.500 1
# Total magnetization ... 0.04 μB per formula unit
# Offset from the most stable computed form ... 504 meV per atom
# Formation energy without anion corrections ... -0.18 eV per atom

Record 3
# PBE BaCoP2Ru, relaxed
data_BaCoP2Ru
_chemical_formula_sum 'Ba2 Co2 P4 Ru2'
_cell_length_a 3.890
_cell_length_b 3.890
_cell_length_c 12.667
_cell_angle_alpha 90.00
_cell_angle_beta 90.00
_cell_angle_gamma 90.00
_space_group_name_H-M_alt 'I -4 m 2'
_space_group_IT_number 119
_space_group_name_Hall 'I -4 -2'
loop_
_atom_site_label
_atom_site_fract_x
_atom_site_fract_y
_atom_site_fract_z
_atom_site_occupancy
Ba1 0.000 0.000 0.000 1
Co1 0.000 0.500 0.250 1
P1 0.000 0.000 0.345 1
Ru1 0.000 0.500 0.750 1
# Total magnetization ... 0.00 μB per formula unit
# E_form ... -0.880 eV per atom

Record 4
# PBE Cs2NaIF, relaxed
data_Cs2NaIF
_chemical_formula_sum 'Cs2 Na1 I1 F1'
_cell_length_a 6.517
_cell_length_b 6.517
_cell_length_c 4.772
_cell_angle_alpha 90.00
_cell_angle_beta 90.00
_cell_angle_gamma 90.00
_space_group_name_H-M_alt 'P 4/m m m'
_space_group_IT_number 123
_space_group_name_Hall '-P 4 2'
loop_
_atom_site_label
_atom_site_fract_x
_atom_site_fract_y
_atom_site_fract_z
_atom_site_occupancy
Cs1 0.000 0.500 0.000 1
Na1 0.000 0.000 0.500 1
I1 0.500 0.500 0.500 1
F1 0.000 0.000 0.000 1
# Total magnetization ... 0.54 μB per formula unit
# Formation energy without anion corrections ... -1.50 eV per atom

Record 5
# PBE PPbCl2, relaxed
data_PPbCl2
_chemical_formula_sum 'P4 Pb4 Cl8'
_cell_length_a 7.356
_cell_length_b 7.356
_cell_length_c 7.356
_cell_angle_alpha 90.00
_cell_angle_beta 90.00
_cell_angle_gamma 90.00
_space_group_name_H-M_alt 'F m -3 m'
_space_group_IT_number 225
_space_group_name_Hall '-F 4 2 3'
loop_
_atom_site_label
_atom_site_fract_x
_atom_site_fract_y
_atom_site_fract_z
_atom_site_occupancy
P1 0.000 0.000 0.000 1
Pb1 0.000 0.000 0.500 1
Cl1 0.250 0.250 0.250 1
# Total magnetization ... 2.88 μB per formula unit
# Offset from the most stable computed form ... 502 meV per atom
# Formation energy without anion corrections ... 0.12 eV per atom

Record 6
# PBE PuU2CoN4, relaxed
data_PuU2CoN4
_chemical_formula_sum 'Pu4 U8 Co4 N16'
_cell_length_a 3.441
_cell_length_b 11.186
_cell_length_c 11.225
_cell_angle_alpha 90.00
_cell_angle_beta 90.00
_cell_angle_gamma 90.00
_space_group_name_H-M_alt 'C m c m'
_space_group_IT_number 63
_space_group_name_Hall '-C 2c 2'
loop_
_atom_site_label
_atom_site_fract_x
_atom_site_fract_y
_atom_site_fract_z
_atom_site_occupancy
Pu1 0.000 0.109 0.250 1
U1 0.000 0.371 0.060 1
Co1 0.000 0.159 0.750 1
N1 0.000 0.000 0.000 1
N2 0.000 0.269 0.613 1
N3 0.000 0.449 0.250 1
# Total magnetization ... 6.89 μB per formula unit
# Formation energy without anion corrections ... -1.10 eV per atom

Record 7
# PBE BaPd2O3, relaxed
data_BaPd2O3
_chemical_formula_sum 'Ba6 Pd12 O18'
_cell_length_a 6.3936
_cell_length_b 6.3936
_cell_length_c 16.9365
_cell_angle_alpha 90.00
_cell_angle_beta 90.00
_cell_angle_gamma 120.00
_space_group_name_H-M_alt 'R -3 m'
_space_group_IT_number 166
_space_group_name_Hall '-R 3 2"'
loop_
_atom_site_label
_atom_site_fract_x
_atom_site_fract_y
_atom_site_fract_z
_atom_site_occupancy
Ba1 0.0000 0.0000 0.1725 1
Pd1 0.0000 0.0000 0.0000 1
Pd2 0.0000 0.5000 0.0000 1
O1 0.0215 0.5107 0.2704 1
# Total magnetization ... 1.03 μB per formula unit
# Formation energy without anion corrections ... -0.89 eV per atom

Record 8
# PBE Ho4Er3Mg, relaxed
data_Ho4Er3Mg
_chemical_formula_sum 'Ho8 Er6 Mg2'
_cell_length_a 25.351
_cell_length_b 3.362
_cell_length_c 5.807
_cell_angle_alpha 90.00
_cell_angle_beta 95.63
_cell_angle_gamma 90.00
_space_group_name_H-M_alt 'C 1 2/m 1'
_space_group_IT_number 12
loop_
_space_group_symop_operation_xyz
'x,y,z'
'-x,-y,-z'
'-x,y,-z'
'x,-y,z'
'x+1/2,y+1/2,z'
'-x+1/2,-y+1/2,-z'
'-x+1/2,y+1/2,-z'
'x+1/2,-y+1/2,z'
loop_
_atom_site_label
_atom_site_fract_x
_atom_site_fract_y
_atom_site_fract_z
_atom_site_occupancy
Ho1 0.102 0.000 0.197 1
Ho2 0.218 0.500 0.237 1
Er1 0.000 0.000 0.500 1
Er2 0.150 0.000 0.715 1
Mg1 0.000 0.500 0.000 1
# Total magnetization ... 0.00 μB per formula unit
# Offset from the most stable computed form ... 231 meV per atom
# E_form ... 0.235 eV per atom

Record 9
# PBE NaAgBrF, relaxed
data_NaAgBrF
_chemical_formula_sum 'Na4 Ag4 Br4 F4'
_cell_length_a 6.672
_cell_length_b 6.672
_cell_length_c 6.672
_cell_angle_alpha 90.00
_cell_angle_beta 90.00
_cell_angle_gamma 90.00
_space_group_name_H-M_alt 'F -4 3 m'
_space_group_IT_number 216
_space_group_name_Hall 'F -4 2 3'
loop_
_atom_site_label
_atom_site_fract_x
_atom_site_fract_y
_atom_site_fract_z
_atom_site_occupancy
Na1 0.000 0.000 0.000 1
Ag1 0.000 0.000 0.500 1
Br1 0.250 0.250 0.250 1
F1 0.250 0.250 0.750 1
# Total magnetization ... 0.00 μB per formula unit
# Offset from the most stable computed form ... 218 meV per atom
# Formation energy without anion corrections ... -1.19 eV per atom

Record 10
# PBE BaHfIn2Br8, relaxed
data_BaHfIn2Br8
_chemical_formula_sum 'Ba1 Hf1 In2 Br8'
_cell_length_a 7.323
_cell_length_b 7.447
_cell_length_c 9.125
_cell_angle_alpha 89.92
_cell_angle_beta 89.88
_cell_angle_gamma 88.52
_space_group_name_H-M_alt 'P -1'
_space_group_IT_number 2
loop_
_space_group_symop_operation_xyz
'x,y,z'
'-x,-y,-z'
loop_
_atom_site_label
_atom_site_fract_x
_atom_site_fract_y
_atom_site_fract_z
_atom_site_occupancy
Ba1 0.000 0.000 0.000 1
Hf1 0.000 0.000 0.500 1
In1 0.500 0.500 0.257 1
Br1 0.182 0.699 0.501 1
Br2 0.221 0.125 0.294 1
Br3 0.221 0.126 0.705 1
Br4 0.274 0.656 0.000 1
# Total magnetization ... 0.00 μB per formula unit
# Formation energy without anion corrections ... -1.33 eV per atom

Record 11
# PBE La2AlRh, relaxed
data_La2AlRh
_chemical_formula_sum 'La2 Al1 Rh1'
_cell_length_a 3.768
_cell_length_b 3.768
_cell_length_c 7.060
_cell_angle_alpha 90.00
_cell_angle_beta 90.00
_cell_angle_gamma 90.00
_space_group_name_H-M_alt 'P 4/m m m'
_space_group_IT_number 123
_space_group_name_Hall '-P 4 2'
loop_
_atom_site_label
_atom_site_fract_x
_atom_site_fract_y
_atom_site_fract_z
_atom_site_occupancy
La1 0.000 0.000 0.231 1
Al1 0.500 0.500 0.500 1
Rh1 0.500 0.500 0.000 1
# Total magnetization ... 0.00 μB per formula unit
# E_form ... -0.498 eV per atom

Record 12
# PBE LiZr2Te, relaxed
data_LiZr2Te
_chemical_formula_sum 'Li2 Zr4 Te2'
_cell_length_a 10.850
_cell_length_b 3.541
_cell_length_c 4.944
_cell_angle_alpha 90.00
_cell_angle_beta 116.85
_cell_angle_gamma 90.00
_space_group_name_H-M_alt 'C 1 m 1'
_space_group_IT_number 8
loop_
_space_group_symop_operation_xyz
'x,y,z'
'x,-y,z'
'x+1/2,y+1/2,z'
'x+1/2,-y+1/2,z'
loop_
_atom_site_label
_atom_site_fract_x
_atom_site_fract_y
_atom_site_fract_z
_atom_site_occupancy
Li1 0.000 0.000 0.000 1
Zr1 0.236 0.000 0.805 1
Zr2 0.472 0.000 0.471 1
Te1 0.221 0.500 0.298 1
# Total magnetization ... 0.00 μB per formula unit
# Formation energy without anion corrections ... -0.24 eV per atom